[1]
La2ErScSe4: optimized geometry, PBE.

```
La2ErScSe4
1.0
-2.668 0.856 2.936
3.586 -4.134 4.465
2.697 6.832 0.459
La Er Sc Se
2 1 1 4
Cartesian
0.014 3.844 1.698 La
3.141 1.349 2.462 La
0.459 -1.639 3.700 Er
0.000 0.000 0.000 Sc
0.098 0.962 2.614 Se
3.516 2.591 5.246 Se
3.003 4.258 1.488 Se
3.280 -1.561 3.436 Se
```

Results
Raw formation energy (eV/atom): -1.815
Mass density (g cm⁻³): 6.69
Crystal system: monoclinic

=====

[2]
Rb2SiSnAu6: optimized geometry, PBE.

```
Rb2SiSnAu6
1.0
-6.986 -1.994 0.793
-0.628 -0.693 -7.249
-2.353 -6.307 -2.882
Rb Si Sn Au
2 1 1 6
Cartesian
-6.573 -4.822 -2.659 Rb
-3.394 -4.172 -6.679 Rb
0.000 0.000 0.000 Si
-3.807 -1.343 -3.228 Sn
-3.037 -3.968 -3.044 Au
-8.172 -8.360 -7.816 Au
-2.127 -1.000 -5.353 Au
-5.487 -1.687 -1.103 Au
-1.795 -0.634 -1.522 Au
-6.930 -5.026 -6.293 Au
```

Results
Raw formation energy (eV/atom): -0.190
Mass density (g cm⁻³): 8.99
Crystal system: tetragonal

=====

[3]
Dy2MgTl3S6: optimized geometry, PBE.

```
Dy2MgTl3S6
1.0
6.918 0.000 0.000
-3.458 5.992 0.000
-1.154 -1.999 7.235
Dy Mg Tl S
2 1 3 6
Cartesian
0.002 3.994 0.000 Dy
3.458 1.998 0.000 Dy
0.000 0.000 0.000 Mg
-2.299 3.990 3.617 Tl
4.606 0.003 3.617 Tl
1.153 1.996 3.617 Tl
3.434 2.039 5.786 S
2.331 4.036 1.458 S
-1.128 1.954 1.449 S
0.050 3.993 5.786 S
-0.025 -0.043 5.777 S
2.256 0.000 1.449 S
```

Results
Raw formation energy (eV/atom): -1.208
Mass density (g cm⁻³): 6.39
Crystal system: monoclinic

=====

[4]
Pm2Tl3InTe6: optimized geometry, PBE.

```
Pm2Tl3InTe6
1.0
-1.268 -2.287 7.367
-4.025 -3.271 -5.849
7.527 -3.813 -1.286
Pm Tl In Te
2 3 1 6
Cartesian
-3.102 -2.942 -1.423 Pm
-2.191 -2.616 2.941 Pm
0.216 -5.007 -4.206 Tl
2.019 -4.363 4.438 Tl
1.117 -4.685 0.116 Tl
0.000 0.000 0.000 In
2.299 -7.114 2.282 Te
-2.307 -5.011 0.855 Te
-0.065 -2.257 -2.050 Te
1.412 -7.431 -1.973 Te
4.541 -4.360 -0.622 Te
0.823 -1.940 2.205 Te
```

Results
Raw formation energy (eV/atom): -0.784
Mass density (g cm⁻³): 6.89
Crystal system: monoclinic

=====

[5]
TbScTlIr: optimized geometry, PBE.

```
TbScTlIr
1.0
4.977 0.000 0.000
2.488 4.310 0.000
2.488 1.437 4.063
Sc Tl Ir Tb
1 1 1 1
Cartesian
2.488 1.437 1.016 Sc
4.977 2.873 2.032 Tl
0.000 0.000 0.000 Ir
7.465 4.310 3.048 Tb
```

Results
Formation energy (meV per atom): -467
Mass density (g cm⁻³): 11.44
Crystal system: cubic

=====

[6]
CaPr2Y4: optimized geometry, PBE.

```
CaPr2Y4
1.0
-6.236 0.971 2.965
1.668 -6.515 1.842
3.671 5.541 2.107
Pr Y Ca
2 4 1
Cartesian
0.052 3.012 3.524 Pr
-0.949 -3.015 3.391 Pr
3.067 1.908 2.028 Y
-3.964 -1.911 4.887 Y
-2.149 0.292 2.977 Y
1.253 -0.295 3.938 Y
0.000 0.000 0.000 Ca
```

Results
Formation energy (meV per atom): 239
Mass density (g cm⁻³): 4.49
Crystal system: tetragonal

=====

The evaluated VASP energy for the records listed, in turn: -6.15; -3.29; -4.76; -3.97; -6.01; -5.11 eV/atom.